Entry from OQMD: a relaxed structure of PrHfTl (GGA-PBE).

Cell lengths 5.066, 5.066, 5.066 Å; angles 60.00, 60.00, 60.00 degrees
Fractional coordinates of all 3 atoms:
Hf1 0.250 0.250 0.250
Pr1 0.750 0.750 0.750
Tl1 0.000 0.000 0.000

Calculated values
- Total energy: -5.303 eV per atom
- Distance to the lowest polymorph of the same formula: 0.0 meV per atom